The following is a DFT calculation (GGA-PBE) of a relaxed Pr2MgPt9 crystal.

Lattice parameters (Å, degrees): 9.456 9.456 9.456 33.48 33.48 33.48
Positions (direct):
Pr (0.137, 0.137, 0.137)
Pr (0.863, 0.863, 0.863)
Mg (0.000, 0.000, 0.000)
Pt (0.080, 0.585, 0.585)
Pt (0.333, 0.333, 0.333)
Pt (0.415, 0.415, 0.920)
Pt (0.415, 0.920, 0.415)
Pt (0.500, 0.500, 0.500)
Pt (0.585, 0.080, 0.585)
Pt (0.585, 0.585, 0.080)
Pt (0.667, 0.667, 0.667)
Pt (0.920, 0.415, 0.415)

Computed properties:
Raw total energy   -6.16 eV/atom
Magnetic moment   0.00 μB per formula unit
ΔH_f (0 K)   -0.698 eV/atom

---

The following is a DFT calculation (GGA-PBE) of a relaxed Sr3CdGa2Au6 crystal.

Lattice parameters (Å, degrees): 6.485 6.485 8.573 90.00 90.00 120.00
Positions (direct):
Sr (0.000, 0.000, 0.000)
Sr (0.333, 0.667, 0.636)
Sr (0.667, 0.333, 0.364)
Cd (0.000, 0.000, 0.500)
Ga (0.333, 0.667, 0.036)
Ga (0.667, 0.333, 0.964)
Au (0.183, 0.366, 0.280)
Au (0.183, 0.817, 0.280)
Au (0.366, 0.183, 0.720)
Au (0.634, 0.817, 0.280)
Au (0.817, 0.183, 0.720)
Au (0.817, 0.634, 0.720)

Computed properties:
Raw total energy   -3.10 eV/atom
Magnetic moment   0.00 μB per formula unit
ΔH_f (0 K)   -0.462 eV/atom

---

The following is a DFT calculation (GGA-PBE) of a relaxed Ba2Mg12AlPd3 crystal.

Lattice parameters (Å, degrees): 8.863 8.863 8.863 65.74 65.74 65.74
Positions (direct):
Ba (0.101, 0.101, 0.101)
Ba (0.899, 0.899, 0.899)
Mg (0.135, 0.616, 0.616)
Mg (0.200, 0.200, 0.601)
Mg (0.200, 0.601, 0.200)
Mg (0.384, 0.384, 0.865)
Mg (0.384, 0.865, 0.384)
Mg (0.399, 0.800, 0.800)
Mg (0.601, 0.200, 0.200)
Mg (0.616, 0.135, 0.616)
Mg (0.616, 0.616, 0.135)
Mg (0.800, 0.399, 0.800)
Mg (0.800, 0.800, 0.399)
Mg (0.865, 0.384, 0.384)
Al (0.500, 0.500, 0.500)
Pd (0.000, 0.500, 0.500)
Pd (0.500, 0.000, 0.500)
Pd (0.500, 0.500, 0.000)

Computed properties:
Raw total energy   -2.35 eV/atom
Magnetic moment   0.00 μB per formula unit
ΔH_f (0 K)   -0.003 eV/atom

---

The following is a DFT calculation (GGA-PBE) of a relaxed K5Cl crystal.

Lattice parameters (Å, degrees): 10.048 10.048 4.438 90.00 90.00 120.00
Positions (direct):
K (0.000, 0.764, 0.000)
K (0.236, 0.236, 0.000)
K (0.333, 0.667, 0.500)
K (0.667, 0.333, 0.500)
K (0.764, 0.000, 0.000)
Cl (0.000, 0.000, 0.500)

Computed properties:
Raw total energy   -1.75 eV/atom
Magnetic moment   0.00 μB per formula unit
ΔE_f (raw)   -3.172 eV per formula unit

---

The following is a DFT calculation (GGA-PBE) of a relaxed Cs2MnS2 crystal.

Lattice parameters (Å, degrees): 8.568 8.568 8.568 128.54 70.59 135.17
Positions (direct):
Cs (0.148, 0.165, 0.314)
Cs (0.352, 0.665, 0.017)
Cs (0.648, 0.335, 0.983)
Cs (0.852, 0.835, 0.686)
Mn (0.250, 0.750, 0.500)
Mn (0.750, 0.250, 0.500)
S (0.094, 0.673, 0.766)
S (0.406, 0.173, 0.579)
S (0.594, 0.827, 0.421)
S (0.906, 0.327, 0.234)

Computed properties:
Raw total energy   -4.79 eV/atom
Magnetic moment   5.00 μB per formula unit
ΔE_f (raw)   -4.840 eV per formula unit

---

The following is a DFT calculation (GGA-PBE) of a relaxed Na3Ge2Sb3 crystal.

Lattice parameters (Å, degrees): 6.441 6.441 14.919 90.00 90.00 134.44
Positions (direct):
Na (0.053, 0.947, 0.618)
Na (0.053, 0.947, 0.882)
Na (0.315, 0.685, 0.750)
Na (0.685, 0.315, 0.250)
Na (0.947, 0.053, 0.118)
Na (0.947, 0.053, 0.382)
Ge (0.239, 0.761, 0.102)
Ge (0.239, 0.761, 0.398)
Ge (0.761, 0.239, 0.602)
Ge (0.761, 0.239, 0.898)
Sb (0.384, 0.616, 0.544)
Sb (0.384, 0.616, 0.956)
Sb (0.389, 0.611, 0.250)
Sb (0.611, 0.389, 0.750)
Sb (0.616, 0.384, 0.044)
Sb (0.616, 0.384, 0.456)

Computed properties:
Raw total energy   -3.36 eV/atom
Magnetic moment   0.00 μB per formula unit
ΔE_f (raw)   -1.291 eV per formula unit

---

The following is a DFT calculation (GGA-PBE) of a relaxed Zn2RuW crystal.

Lattice parameters (Å, degrees): 4.851 4.851 4.492 104.20 104.20 35.21
Positions (direct):
Zn (0.245, 0.245, 0.243)
Zn (0.755, 0.755, 0.757)
Ru (0.500, 0.500, 0.000)
W (0.000, 0.000, 0.500)

Computed properties:
Raw total energy   -6.01 eV/atom
Magnetic moment   0.00 μB per formula unit
ΔH_f (0 K)   0.188 eV/atom

---

The following is a DFT calculation (GGA-PBE) of a relaxed CuCSN crystal.

Lattice parameters (Å, degrees): 3.988 4.076 5.783 107.56 108.86 91.68
Positions (direct):
Cu (0.000, 0.000, 0.000)
C (0.729, 0.460, 0.461)
S (0.583, 0.172, 0.166)
N (0.834, 0.665, 0.670)

Computed properties:
Raw total energy   -6.26 eV/atom
Magnetic moment   0.00 μB per formula unit
ΔE_f (raw)   0.742 eV per formula unit